[1]
36
Lattice="8.244 -4.760 0.000 8.244 4.760 0.000 -5.498 0.000 8.146" Properties=species:S:1:pos:R:3 comment="KMgInMo3O12, PBEsol geometry, DFT SCAN" n_ef_per_ev_fu=0.00 final_energy_ev_per_cell=-533.73 rho_g_cm3=3.4 polymorph_energy_kj_per_mol_fu=0 formation_energy_uncorrected_mev_per_atom=-2264 pbc="T T T"
K 2.750 0.000 1.969
K 8.241 0.000 6.177
Mg -2.748 0.002 6.666
Mg 13.738 0.002 1.480
In 2.747 0.003 5.509
In 8.243 0.003 2.637
Mo 7.813 -3.420 4.077
Mo 8.244 2.753 0.000
Mo 5.495 2.087 4.073
Mo 5.864 -1.373 0.003
Mo 3.178 -3.420 4.070
Mo 5.127 -1.373 8.143
O 6.840 3.779 0.212
O -1.348 0.969 5.505
O 5.357 3.072 2.649
O 1.189 0.594 4.164
O 4.151 3.779 7.934
O 2.479 1.749 6.712
O 5.633 3.072 5.497
O 4.041 1.055 4.165
O -1.225 -0.672 7.934
O 8.511 1.749 1.434
O 1.373 -1.100 6.718
O 6.950 1.055 3.981
O 3.010 -1.645 4.165
O 6.593 -0.639 1.439
O 4.397 -0.639 6.707
O 5.679 -3.103 0.212
O 9.802 0.594 3.982
O 12.338 0.969 2.641
O 9.617 -1.100 1.428
O 7.981 -1.645 3.981
O 12.216 -0.672 0.212
O 3.969 -4.032 5.490
O 7.022 -4.032 2.656
O 5.312 -3.103 7.934

---

[2]
36
Lattice="4.763 2.750 8.158 -4.763 2.750 8.158 0.000 -5.500 8.158" Properties=species:S:1:pos:R:3 comment="KMgInMo3O12, PBEsol geometry, DFT SCAN" n_ef_per_ev_fu=0.00 final_energy_ev_per_cell=-533.65 rho_g_cm3=3.4 polymorph_energy_kj_per_mol_fu=4 formation_energy_uncorrected_mev_per_atom=-2261 pbc="T T T"
K 0.000 0.000 0.000
K 0.000 0.000 12.237
Mg 0.000 0.000 3.480
Mg 0.000 0.000 15.717
In 0.000 0.000 8.718
In 0.000 0.000 20.955
Mo -3.451 -0.368 10.157
Mo -1.312 -3.118 14.236
Mo 2.044 -2.804 10.157
Mo -2.044 2.696 14.236
Mo 1.406 3.173 10.157
Mo 3.357 0.423 14.236
O -3.737 -1.326 11.611
O -4.205 1.206 10.327
O -3.077 -2.898 14.103
O -0.720 -1.600 7.532
O -0.657 -3.908 12.828
O -1.686 -0.148 10.024
O 1.058 -4.244 10.327
O -1.026 1.424 7.532
O -3.056 2.523 12.828
O 0.972 -1.386 10.024
O -0.558 -1.544 14.406
O -1.707 -0.227 16.907
O 1.746 0.177 7.532
O -1.058 1.255 14.406
O 0.715 1.535 10.024
O 3.017 -2.573 11.611
O 1.050 -1.365 16.907
O -0.972 4.114 14.103
O 1.616 0.288 14.406
O 0.720 3.899 11.611
O 0.657 1.592 16.907
O 4.048 -1.215 14.103
O 3.147 3.038 10.327
O 3.713 1.385 12.828

---

[3]
5
Lattice="5.232 0.000 0.000 0.000 5.232 0.000 0.000 0.000 5.240" Properties=species:S:1:pos:R:3 comment="KMgInS2, PBEsol geometry, DFT SCAN" n_ef_per_ev_fu=1.95 final_energy_ev_per_cell=-67.09 rho_g_cm3=2.8 formation_energy_uncorrected_mev_per_atom=-228 pbc="T T T"
K 0.000 0.000 0.000
Mg 2.616 2.616 0.000
In 2.616 2.616 2.620
S 0.000 2.616 2.620
S 2.616 0.000 2.620